A geometry-optimized LiMgIN2 structure, computed with PBE-GGA.

Structure (POSCAR):
```
LiMgIN2
1.0
4.225 0.000 0.000
0.000 4.225 0.000
0.000 0.000 6.250
Li Mg I N
1 1 1 2
Direct
0.000 0.000 0.000
0.500 0.500 0.500
0.500 0.500 0.000
0.000 0.500 0.500
0.500 0.000 0.500
```

N(E_F): 0.63 states/eV/f.u.
calculated volume: 22.32 A^3/atom
formation energy without anion corrections: 0.711 eV/atom
magnetization: 4.0 μB per cell
calculated total energy: -0.267 Ry per atom

***

A geometry-optimized LiMgIN2 structure, computed with PBE-GGA.

Structure (POSCAR):
```
LiMgIN2
1.0
4.201 0.000 0.000
0.000 4.201 0.000
0.000 0.000 5.202
Li Mg I N
1 1 1 2
Direct
0.000 0.000 0.000
0.500 0.500 0.500
0.000 0.000 0.500
0.000 0.500 0.000
0.500 0.000 0.000
```

N(E_F): 2.07 states/eV/f.u.
calculated volume: 18.36 A^3/atom
formation energy without anion corrections: 1.253 eV/atom
magnetization: 4.1 μB per cell
calculated total energy: -0.227 Ry per atom

***

A geometry-optimized Na2LiMgI5 structure, computed with PBE-GGA.

Structure (POSCAR):
```
Na2LiMgI5
1.0
2.206 -11.765 0.000
2.206 11.765 0.000
0.000 0.000 13.907
Na Li Mg I
4 2 2 10
Direct
0.136 0.864 0.500
0.175 0.825 0.830
0.825 0.175 0.330
0.864 0.136 0.000
0.200 0.800 0.212
0.800 0.200 0.712
0.443 0.557 0.584
0.557 0.443 0.084
0.057 0.943 0.206
0.307 0.693 0.838
0.317 0.683 0.162
0.337 0.663 0.499
0.467 0.533 0.965
0.533 0.467 0.465
0.663 0.337 0.999
0.683 0.317 0.662
0.693 0.307 0.338
0.943 0.057 0.706
```

N(E_F): 0.00 states/eV/f.u.
calculated volume: 40.09 A^3/atom
formation energy without anion corrections: -1.122 eV/atom
magnetization: 0.0 μB per cell
calculated total energy: -0.196 Ry per atom

***

A geometry-optimized Na3Li3MgI8 structure, computed with PBE-GGA.

Structure (POSCAR):
```
Na3Li3MgI8
1.0
7.556 -4.359 0.000
7.556 4.359 0.000
-5.038 0.000 7.418
Na Li Mg I
3 3 1 8
Direct
0.000 0.000 0.000
0.000 0.500 0.000
0.500 0.000 0.000
0.000 0.500 0.500
0.500 0.000 0.500
0.500 0.500 0.500
0.000 0.000 0.500
0.238 0.238 0.724
0.238 0.749 0.724
0.251 0.762 0.276
0.257 0.257 0.270
0.743 0.743 0.730
0.749 0.238 0.724
0.762 0.251 0.276
0.762 0.762 0.276
```

N(E_F): 0.00 states/eV/f.u.
calculated volume: 32.57 A^3/atom
formation energy without anion corrections: -1.178 eV/atom
magnetization: 0.0 μB per cell
calculated total energy: -0.203 Ry per atom

***

A geometry-optimized LiMg2IO6 structure, computed with PBE-GGA.

Structure (POSCAR):
```
LiMg2IO6
1.0
2.605 1.504 4.757
-2.605 1.504 4.757
0.000 -3.008 4.757
Li Mg I O
1 2 1 6
Direct
0.000 0.000 0.000
0.260 0.260 0.260
0.774 0.774 0.774
0.461 0.461 0.461
0.086 0.659 0.384
0.211 0.552 0.830
0.384 0.086 0.659
0.552 0.830 0.211
0.659 0.384 0.086
0.830 0.211 0.552
```

N(E_F): 0.00 states/eV/f.u.
calculated volume: 11.18 A^3/atom
formation energy without anion corrections: -1.617 eV/atom
magnetization: 0.0 μB per cell
calculated total energy: -0.386 Ry per atom

***

A geometry-optimized Li2Mg2IO6 structure, computed with PBE-GGA.

Structure (POSCAR):
```
Li2Mg2IO6
1.0
2.695 -4.571 0.000
2.695 4.571 0.000
-1.759 0.000 5.000
Li Mg I O
2 2 1 6
Direct
0.173 0.827 0.000
0.827 0.173 0.000
0.336 0.664 0.500
0.664 0.336 0.500
0.000 0.000 0.500
0.056 0.386 0.721
0.242 0.242 0.282
0.386 0.056 0.721
0.614 0.944 0.279
0.758 0.758 0.718
0.944 0.614 0.279
```

N(E_F): 2.54 states/eV/f.u.
calculated volume: 11.20 A^3/atom
formation energy without anion corrections: -1.625 eV/atom
magnetization: 0.9 μB per cell
calculated total energy: -0.375 Ry per atom

***

A geometry-optimized Rb2Li2MgI6 structure, computed with PBE-GGA.

Structure (POSCAR):
```
Rb2Li2MgI6
1.0
7.148 -4.248 0.000
7.148 4.248 0.000
-4.042 0.000 7.814
Rb Li Mg I
2 2 1 6
Direct
0.209 0.209 0.167
0.791 0.791 0.833
0.433 0.433 0.711
0.567 0.567 0.289
0.000 0.000 0.500
0.190 0.711 0.227
0.227 0.227 0.593
0.289 0.810 0.773
0.711 0.190 0.227
0.773 0.773 0.407
0.810 0.289 0.773
```

N(E_F): 0.00 states/eV/f.u.
calculated volume: 43.14 A^3/atom
formation energy without anion corrections: -1.206 eV/atom
magnetization: 0.0 μB per cell
calculated total energy: -0.200 Ry per atom

***

A geometry-optimized Rb2LiMgI6 structure, computed with PBE-GGA.

Structure (POSCAR):
```
Rb2LiMgI6
1.0
7.378 0.000 0.000
-3.680 7.595 0.000
-3.683 -2.832 7.284
Rb Li Mg I
2 1 1 6
Direct
0.000 0.000 0.000
0.003 0.491 0.513
0.524 0.213 0.834
0.494 0.729 0.258
0.008 0.969 0.545
0.425 0.443 0.406
0.500 0.967 0.544
0.503 0.534 0.961
0.576 0.051 0.102
0.995 0.533 0.961
```

N(E_F): 4.35 states/eV/f.u.
calculated volume: 40.82 A^3/atom
formation energy without anion corrections: -1.077 eV/atom
magnetization: 0.0 μB per cell
calculated total energy: -0.188 Ry per atom

***

A geometry-optimized RbLiMg2I6 structure, computed with PBE-GGA.

Structure (POSCAR):
```
RbLiMg2I6
1.0
7.750 -7.755 0.000
7.750 7.755 0.000
-2.978 0.000 8.004
Rb Li Mg I
2 2 4 12
Direct
0.123 0.877 0.750
0.877 0.123 0.250
0.209 0.791 0.250
0.791 0.209 0.750
0.234 0.385 0.810
0.385 0.234 0.310
0.615 0.766 0.690
0.766 0.615 0.190
0.039 0.200 0.691
0.151 0.612 0.945
0.200 0.039 0.191
0.305 0.427 0.532
0.388 0.849 0.555
0.427 0.305 0.032
0.573 0.695 0.968
0.612 0.151 0.445
0.695 0.573 0.468
0.800 0.961 0.809
0.849 0.388 0.055
0.961 0.800 0.309
```

N(E_F): 0.00 states/eV/f.u.
calculated volume: 48.11 A^3/atom
formation energy without anion corrections: -1.127 eV/atom
magnetization: 0.0 μB per cell
calculated total energy: -0.196 Ry per atom

***

A geometry-optimized RbLiMgI4 structure, computed with PBE-GGA.

Structure (POSCAR):
```
RbLiMgI4
1.0
7.160 0.000 0.000
0.000 9.005 0.000
-2.196 0.000 9.719
Rb Li Mg I
2 2 2 8
Direct
0.201 0.250 0.082
0.799 0.750 0.918
0.302 0.250 0.685
0.698 0.750 0.315
0.201 0.750 0.313
0.799 0.250 0.687
0.057 0.019 0.731
0.057 0.481 0.731
0.377 0.750 0.091
0.491 0.250 0.469
0.509 0.750 0.531
0.623 0.250 0.909
0.943 0.519 0.269
0.943 0.981 0.269
```

N(E_F): 0.00 states/eV/f.u.
calculated volume: 44.76 A^3/atom
formation energy without anion corrections: -1.198 eV/atom
magnetization: 0.0 μB per cell
calculated total energy: -0.200 Ry per atom

***

A geometry-optimized LiMgSeI structure, computed with PBE-GGA.

Structure (POSCAR):
```
LiMgSeI
1.0
2.158 1.246 7.318
-2.158 1.246 7.318
0.000 -2.492 7.318
Li Mg Se I
1 1 1 1
Direct
0.000 0.000 0.000
0.480 0.480 0.480
0.115 0.115 0.115
0.612 0.612 0.612
```

N(E_F): 0.00 states/eV/f.u.
calculated volume: 29.51 A^3/atom
formation energy without anion corrections: -1.188 eV/atom
magnetization: 0.0 μB per cell
calculated total energy: -0.244 Ry per atom

***

A geometry-optimized Li2MgTaI structure, computed with PBE-GGA.

Structure (POSCAR):
```
Li2MgTaI
1.0
4.875 0.000 0.000
0.000 4.875 0.000
0.000 0.000 5.254
Li Mg Ta I
2 1 1 1
Direct
0.000 0.500 0.000
0.500 0.000 0.000
0.000 0.000 0.500
0.500 0.500 0.500
0.500 0.500 0.000
```

N(E_F): 3.64 states/eV/f.u.
calculated volume: 24.97 A^3/atom
formation energy without anion corrections: 0.760 eV/atom
magnetization: 0.0 μB per cell
calculated total energy: -0.221 Ry per atom

***

> Which formula does entry 3 have?

Na2LiMgI5

***

> Look up the calculated total energy of the second one.

-0.227 Ry per atom